The following is a DFT calculation (GGA-PBE) of Pm3Hg3Au2 after structural relaxation.

Unit cell a=7.834 b=7.834 c=3.888 alpha=90.00 beta=90.00 gamma=120.00
Element x y z (fractional)
Pm 0.000 0.407 0.000
Pm 0.407 0.000 0.000
Pm 0.593 0.593 0.000
Hg 0.000 0.768 0.500
Hg 0.232 0.232 0.500
Hg 0.768 0.000 0.500
Au 0.333 0.667 0.500
Au 0.667 0.333 0.500

Output
D(E_F): 7.3 states/eV/f.u.
calculated total energy: -3.32 eV/atom
formation energy: -0.61 eV/atom
relative energy among the computed polymorphs: 0.000 eV per atom

=====

The following is a DFT calculation (GGA-PBE) of PmPrHgAu after structural relaxation.

Unit cell a=3.775 b=3.775 c=7.572 alpha=90.00 beta=90.00 gamma=90.00
Element x y z (fractional)
Pm 0.000 0.000 0.000
Pr 0.000 0.000 0.477
Hg 0.500 0.500 0.744
Au 0.500 0.500 0.227

Output
D(E_F): 3.7 states/eV/f.u.
calculated total energy: -3.89 eV/atom
formation energy: -0.62 eV/atom
relative energy among the computed polymorphs: 0.000 eV per atom

=====

The following is a DFT calculation (GGA-PBE) of PmPrHgAu after structural relaxation.

Unit cell a=5.342 b=5.342 c=5.342 alpha=60.00 beta=60.00 gamma=60.00
Element x y z (fractional)
Pm 0.000 0.000 0.000
Pr 0.500 0.500 0.500
Hg 0.250 0.250 0.250
Au 0.750 0.750 0.750

Output
D(E_F): 3.1 states/eV/f.u.
calculated total energy: -3.88 eV/atom
formation energy: -0.60 eV/atom
relative energy among the computed polymorphs: 0.014 eV per atom

=====

The following is a DFT calculation (GGA-PBE) of PmHgPtAu after structural relaxation.

Unit cell a=4.968 b=4.968 c=4.968 alpha=60.00 beta=60.00 gamma=60.00
Element x y z (fractional)
Pm 0.000 0.000 0.000
Hg 0.500 0.500 0.500
Pt 0.750 0.750 0.750
Au 0.250 0.250 0.250

Output
D(E_F): 2.0 states/eV/f.u.
calculated total energy: -4.21 eV/atom
formation energy: -0.62 eV/atom

=====

The following is a DFT calculation (GGA-PBE) of Pm4HgRuAu2 after structural relaxation.

Unit cell a=8.913 b=8.913 c=8.913 alpha=34.10 beta=34.10 gamma=34.10
Element x y z (fractional)
Pm 0.116 0.116 0.116
Pm 0.367 0.367 0.367
Pm 0.633 0.633 0.633
Pm 0.884 0.884 0.884
Hg 0.500 0.500 0.500
Ru 0.000 0.000 0.000
Au 0.242 0.242 0.242
Au 0.758 0.758 0.758

Output
D(E_F): 6.1 states/eV/f.u.
calculated total energy: -4.96 eV/atom
formation energy: -0.56 eV/atom

=====

The following is a DFT calculation (GGA-PBE) of PmHgSbAu after structural relaxation.

Unit cell a=5.190 b=5.190 c=5.190 alpha=60.00 beta=60.00 gamma=60.00
Element x y z (fractional)
Pm 0.000 0.000 0.000
Hg 0.750 0.750 0.750
Sb 0.500 0.500 0.500
Au 0.250 0.250 0.250

Output
D(E_F): 2.3 states/eV/f.u.
energy relative to the elements, uncorrected: -465 meV/atom
calculated total energy: -3.58 eV/atom

=====

The following is a DFT calculation (GGA-PBE) of PmScHgAu after structural relaxation.

Unit cell a=3.513 b=3.513 c=7.583 alpha=90.00 beta=90.00 gamma=90.00
Element x y z (fractional)
Pm 0.000 0.000 0.000
Sc 0.000 0.000 0.470
Hg 0.500 0.500 0.710
Au 0.500 0.500 0.277

Output
D(E_F): 4.2 states/eV/f.u.
calculated total energy: -4.28 eV/atom
formation energy: -0.61 eV/atom
relative energy among the computed polymorphs: 0.000 eV per atom

=====

The following is a DFT calculation (GGA-PBE) of PmScHgAu after structural relaxation.

Unit cell a=5.123 b=5.123 c=5.123 alpha=60.00 beta=60.00 gamma=60.00
Element x y z (fractional)
Pm 0.000 0.000 0.000
Sc 0.500 0.500 0.500
Hg 0.250 0.250 0.250
Au 0.750 0.750 0.750

Output
D(E_F): 4.7 states/eV/f.u.
calculated total energy: -4.24 eV/atom
formation energy: -0.57 eV/atom
relative energy among the computed polymorphs: 0.039 eV per atom

=====

The following is a DFT calculation (GGA-PBE) of PmSi2Hg2Au7 after structural relaxation.

Unit cell a=4.767 b=4.767 c=11.895 alpha=98.90 beta=98.90 gamma=95.09
Element x y z (fractional)
Pm 0.000 0.000 0.000
Si 0.268 0.268 0.770
Si 0.732 0.732 0.230
Hg 0.117 0.117 0.393
Hg 0.883 0.883 0.607
Au 0.173 0.590 0.179
Au 0.410 0.827 0.821
Au 0.429 0.429 0.602
Au 0.500 0.500 0.000
Au 0.571 0.571 0.398
Au 0.590 0.173 0.179
Au 0.827 0.410 0.821

Output
D(E_F): 4.0 states/eV/f.u.
energy relative to the elements, uncorrected: -192 meV/atom
calculated total energy: -3.45 eV/atom

=====

The following is a DFT calculation (GGA-PBE) of Pm2SnHgAu4 after structural relaxation.

Unit cell a=8.722 b=8.722 c=8.722 alpha=33.59 beta=33.59 gamma=33.59
Element x y z (fractional)
Pm 0.249 0.249 0.249
Pm 0.751 0.751 0.751
Sn 0.000 0.000 0.000
Hg 0.500 0.500 0.500
Au 0.124 0.124 0.124
Au 0.375 0.375 0.375
Au 0.625 0.625 0.625
Au 0.876 0.876 0.876

Output
D(E_F): 4.2 states/eV/f.u.
calculated total energy: -4.00 eV/atom
formation energy: -0.64 eV/atom

=====

The following is a DFT calculation (GGA-PBE) of PmHgTeAu after structural relaxation.

Unit cell a=5.321 b=5.321 c=5.321 alpha=60.00 beta=60.00 gamma=60.00
Element x y z (fractional)
Pm 0.000 0.000 0.000
Hg 0.500 0.500 0.500
Te 0.750 0.750 0.750
Au 0.250 0.250 0.250

Output
D(E_F): 1.1 states/eV/f.u.
energy relative to the elements, uncorrected: -589 meV/atom
calculated total energy: -3.46 eV/atom

=====

The following is a DFT calculation (GGA-PBE) of Pm4TlHgAu2 after structural relaxation.

Unit cell a=9.232 b=9.232 c=9.232 alpha=33.61 beta=33.61 gamma=33.61
Element x y z (fractional)
Pm 0.123 0.123 0.123
Pm 0.373 0.373 0.373
Pm 0.627 0.627 0.627
Pm 0.877 0.877 0.877
Tl 0.500 0.500 0.500
Hg 0.000 0.000 0.000
Au 0.248 0.248 0.248
Au 0.752 0.752 0.752

Output
D(E_F): 8.5 states/eV/f.u.
calculated total energy: -4.10 eV/atom
formation energy: -0.57 eV/atom